Computed, not measured: a relaxed structure of KScNiF6 at the PBE with a Hubbard U level of DFT.

Values from the calculation:
**Raw total energy**: -5.475 eV/atom

Unit cell a=7.352 b=7.665 c=10.643 alpha=90.00 beta=90.00 gamma=90.00
Space group Imma (No. 74)
Symmetry-distinct sites (fractional):
K 0.000 0.250 0.069
Sc 0.000 0.000 0.500
Ni 0.250 0.250 0.750
F 0.000 0.250 0.430
F 0.000 0.250 0.819
F 0.202 0.059 0.621